Compound: YReSb2
Source: the Alexandria database
Functional: PBE-GGA
Structure: relaxed

Lattice parameters (Å, degrees): 9.7113 9.7113 9.7113 20.31 20.31 20.31
Last column: nearest neighbours and their distance in Å.
Atoms (fractional coordinates):
Y1 0.0000 0.0000 0.0000  3 Re 2.97, 3 Sb 3.25
Re1 0.7443 0.7443 0.7443  3 Sb 2.71, 3 Y 2.97
Sb1 0.2430 0.2430 0.2430  3 Y 3.25, 9 Sb 3.42-3.48
Sb2 0.4762 0.4762 0.4762  3 Re 2.71

Output
SG ... No. 160
Total energy ... -26.40 eV per cell
Uncorrected formation energy ... 0.190 eV per atom
E above lowest polymorph ... 303.5 meV/atom